Entry 1:
Computed, not measured: crystalline KNpCu2Br8 at its relaxed geometry at the PBE level of DFT.

abc: 7.616 7.616 8.999
angles: 90.00 90.00 120.00
Sites, in units of the cell vectors:
K 0.000 0.000 0.000
Np 0.000 0.000 0.500
Cu 0.333 0.667 0.189
Cu 0.667 0.333 0.811
Br 0.165 0.331 0.316
Br 0.165 0.835 0.316
Br 0.331 0.165 0.684
Br 0.333 0.667 0.936
Br 0.667 0.333 0.064
Br 0.669 0.835 0.316
Br 0.835 0.165 0.684
Br 0.835 0.669 0.684

Properties
Fermi-level density of states ... 10.78 states/eV/f.u.
ΔE_f (raw) ... -0.86 eV/atom



Entry 2:
Computed, not measured: crystalline KNpCuBr6 at its relaxed geometry at the PBE level of DFT.

abc: 7.042 7.042 14.985
angles: 90.00 90.00 120.00
Sites, in units of the cell vectors:
K 0.000 0.000 0.000
K 0.000 0.000 0.500
Np 0.333 0.667 0.250
Np 0.667 0.333 0.750
Cu 0.333 0.667 0.750
Cu 0.667 0.333 0.250
Br 0.011 0.370 0.644
Br 0.011 0.641 0.856
Br 0.359 0.370 0.856
Br 0.359 0.989 0.644
Br 0.370 0.011 0.144
Br 0.370 0.359 0.356
Br 0.630 0.641 0.644
Br 0.630 0.989 0.856
Br 0.641 0.011 0.356
Br 0.641 0.630 0.144
Br 0.989 0.359 0.144
Br 0.989 0.630 0.356

Properties
Fermi-level density of states ... 7.60 states/eV/f.u.
ΔE_f (raw) ... -1.12 eV/atom



Entry 3:
Computed, not measured: crystalline KCuBr2O at its relaxed geometry at the PBE level of DFT.

abc: 5.518 5.518 3.689
angles: 90.00 90.00 90.00
Sites, in units of the cell vectors:
K 0.000 0.000 0.000
Cu 0.500 0.500 0.500
Br 0.000 0.500 0.500
Br 0.500 0.000 0.500
O 0.500 0.500 0.000

Properties
Fermi-level density of states ... 3.98 states/eV/f.u.
ΔE_f (raw) ... -0.70 eV/atom



Entry 4:
Computed, not measured: crystalline K2CuBrO at its relaxed geometry at the PBE level of DFT.

abc: 5.682 5.682 3.688
angles: 90.00 90.00 90.00
Sites, in units of the cell vectors:
K 0.000 0.500 0.000
K 0.500 0.000 0.000
Cu 0.000 0.000 0.500
Br 0.500 0.500 0.500
O 0.000 0.000 0.000

Properties
ΔE to the lowest computed polymorph ... 0.000 eV per atom
ΔE_f (raw) ... -1.19 eV/atom



Entry 5:
Computed, not measured: crystalline K2CuBrO at its relaxed geometry at the PBE level of DFT.

abc: 7.298 3.994 9.329
angles: 90.00 110.44 90.00
Sites, in units of the cell vectors:
K 0.185 0.250 0.471
K 0.197 0.250 0.865
K 0.803 0.750 0.135
K 0.815 0.750 0.529
Cu 0.466 0.750 0.743
Cu 0.534 0.250 0.257
Br 0.296 0.750 0.196
Br 0.704 0.250 0.804
O 0.200 0.750 0.675
O 0.800 0.250 0.325

Properties
ΔE to the lowest computed polymorph ... 0.163 eV per atom
ΔE_f (raw) ... -1.03 eV/atom



Entry 6:
Computed, not measured: crystalline KCu4BrO2 at its relaxed geometry at the PBE level of DFT.

abc: 3.731 3.731 9.722
angles: 90.00 90.00 90.00
Sites, in units of the cell vectors:
K 0.000 0.000 0.000
Cu 0.000 0.500 0.271
Cu 0.000 0.500 0.729
Cu 0.500 0.000 0.271
Cu 0.500 0.000 0.729
Br 0.000 0.000 0.500
O 0.500 0.500 0.211
O 0.500 0.500 0.789

Properties
ΔE_f (raw) ... -0.41 eV/atom



Entry 7:
Computed, not measured: crystalline K5CuBrO2 at its relaxed geometry at the PBE level of DFT.

abc: 5.453 5.453 8.924
angles: 90.00 90.00 90.00
Sites, in units of the cell vectors:
K 0.000 0.000 0.000
K 0.000 0.500 0.289
K 0.000 0.500 0.711
K 0.500 0.000 0.289
K 0.500 0.000 0.711
Cu 0.000 0.000 0.500
Br 0.500 0.500 0.000
O 0.000 0.000 0.294
O 0.000 0.000 0.706

Properties
Fermi-level density of states ... 1.59 states/eV/f.u.
ΔE_f (raw) ... -1.07 eV/atom



Entry 8:
Computed, not measured: crystalline KCu2OsBr8 at its relaxed geometry at the PBE level of DFT.

abc: 6.831 7.968 9.163
angles: 111.76 96.40 106.72
Sites, in units of the cell vectors:
K 0.000 0.000 0.000
Cu 0.399 0.385 0.854
Cu 0.601 0.615 0.146
Os 0.000 0.000 0.500
Br 0.027 0.765 0.234
Br 0.095 0.804 0.632
Br 0.382 0.207 0.571
Br 0.491 0.729 0.953
Br 0.509 0.271 0.047
Br 0.618 0.793 0.429
Br 0.905 0.196 0.368
Br 0.973 0.235 0.766

Properties
Fermi-level density of states ... 3.88 states/eV/f.u.
ΔE_f (raw) ... -0.47 eV/atom



Entry 9:
Computed, not measured: crystalline KPaCuBr6 at its relaxed geometry at the PBE level of DFT.

abc: 7.056 7.056 15.178
angles: 90.00 90.00 120.00
Sites, in units of the cell vectors:
K 0.000 0.000 0.000
K 0.000 0.000 0.500
Pa 0.333 0.667 0.250
Pa 0.667 0.333 0.750
Cu 0.333 0.667 0.750
Cu 0.667 0.333 0.250
Br 0.010 0.366 0.644
Br 0.010 0.644 0.856
Br 0.356 0.366 0.856
Br 0.356 0.990 0.644
Br 0.366 0.010 0.144
Br 0.366 0.356 0.356
Br 0.634 0.644 0.644
Br 0.634 0.990 0.856
Br 0.644 0.010 0.356
Br 0.644 0.634 0.144
Br 0.990 0.356 0.144
Br 0.990 0.634 0.356

Properties
Fermi-level density of states ... 0.86 states/eV/f.u.
ΔE_f (raw) ... -1.24 eV/atom



Entry 10:
Computed, not measured: crystalline KPaCu2Br8 at its relaxed geometry at the PBE level of DFT.

abc: 7.025 7.025 9.727
angles: 93.08 93.08 78.56
Sites, in units of the cell vectors:
K 0.000 0.000 0.000
Pa 0.000 0.000 0.500
Cu 0.261 0.261 0.725
Cu 0.739 0.739 0.275
Br 0.208 0.777 0.302
Br 0.223 0.792 0.698
Br 0.258 0.258 0.491
Br 0.295 0.295 0.955
Br 0.705 0.705 0.045
Br 0.742 0.742 0.509
Br 0.777 0.208 0.302
Br 0.792 0.223 0.698

Properties
ΔE_f (raw) ... -1.06 eV/atom



Entry 11:
Computed, not measured: crystalline KCu4Pb3Br12 at its relaxed geometry at the PBE level of DFT.

abc: 9.536 9.536 9.536
angles: 105.24 105.24 105.24
Sites, in units of the cell vectors:
K 0.000 0.000 0.000
Cu 0.063 0.500 0.937
Cu 0.500 0.500 0.500
Cu 0.500 0.937 0.063
Cu 0.937 0.063 0.500
Pb 0.000 0.551 0.449
Pb 0.449 0.000 0.551
Pb 0.551 0.449 0.000
Br 0.012 0.648 0.783
Br 0.097 0.903 0.500
Br 0.217 0.352 0.988
Br 0.345 0.655 0.500
Br 0.352 0.988 0.217
Br 0.500 0.097 0.903
Br 0.500 0.345 0.655
Br 0.648 0.783 0.012
Br 0.655 0.500 0.345
Br 0.783 0.012 0.648
Br 0.903 0.500 0.097
Br 0.988 0.217 0.352

Properties
Fermi-level density of states ... 13.46 states/eV/f.u.
ΔE_f (raw) ... -0.68 eV/atom



Entry 12:
Computed, not measured: crystalline K3Cu2PdBr8 at its relaxed geometry at the PBE level of DFT.

abc: 7.390 7.390 9.413
angles: 90.00 90.00 120.00
Sites, in units of the cell vectors:
K 0.000 0.000 0.000
K 0.333 0.667 0.618
K 0.667 0.333 0.382
Cu 0.333 0.667 0.203
Cu 0.667 0.333 0.797
Pd 0.000 0.000 0.500
Br 0.164 0.329 0.331
Br 0.164 0.836 0.331
Br 0.329 0.164 0.669
Br 0.333 0.667 0.959
Br 0.667 0.333 0.041
Br 0.671 0.836 0.331
Br 0.836 0.164 0.669
Br 0.836 0.671 0.669

Properties
Fermi-level density of states ... 4.95 states/eV/f.u.
ΔE_f (raw) ... -0.89 eV/atom



Entry 13:
Computed, not measured: crystalline KCu2PdBr8 at its relaxed geometry at the PBE level of DFT.

abc: 5.916 6.178 10.808
angles: 73.82 86.40 85.69
Sites, in units of the cell vectors:
K 0.000 0.000 0.000
Cu 0.491 0.425 0.672
Cu 0.509 0.575 0.328
Pd 0.000 0.000 0.500
Br 0.190 0.720 0.690
Br 0.221 0.899 0.311
Br 0.285 0.307 0.501
Br 0.464 0.302 0.900
Br 0.536 0.698 0.100
Br 0.715 0.693 0.499
Br 0.779 0.101 0.689
Br 0.810 0.280 0.310

Properties
Fermi-level density of states ... 6.97 states/eV/f.u.
ΔE_f (raw) ... -0.49 eV/atom



Entry 14:
Computed, not measured: crystalline K3CuPd2Br9 at its relaxed geometry at the PBE level of DFT.

abc: 7.391 7.391 9.047
angles: 90.00 90.00 120.00
Sites, in units of the cell vectors:
K 0.000 0.000 0.000
K 0.333 0.667 0.664
K 0.667 0.333 0.336
Cu 0.000 0.000 0.500
Pd 0.333 0.667 0.169
Pd 0.667 0.333 0.831
Br 0.000 0.500 0.000
Br 0.166 0.331 0.334
Br 0.166 0.834 0.334
Br 0.331 0.166 0.666
Br 0.500 0.000 0.000
Br 0.500 0.500 0.000
Br 0.669 0.834 0.334
Br 0.834 0.166 0.666
Br 0.834 0.669 0.666

Properties
Fermi-level density of states ... 4.60 states/eV/f.u.
ΔE_f (raw) ... -0.86 eV/atom



Entry 15:
Computed, not measured: crystalline KCu2PdBr6 at its relaxed geometry at the PBE level of DFT.

abc: 9.590 9.590 7.404
angles: 108.10 108.10 78.49
Sites, in units of the cell vectors:
K 0.157 0.843 0.750
K 0.843 0.157 0.250
Cu 0.113 0.329 0.815
Cu 0.329 0.113 0.315
Cu 0.671 0.887 0.685
Cu 0.887 0.671 0.185
Pd 0.318 0.682 0.250
Pd 0.682 0.318 0.750
Br 0.128 0.178 0.032
Br 0.141 0.570 0.328
Br 0.178 0.128 0.532
Br 0.254 0.534 0.898
Br 0.430 0.859 0.172
Br 0.466 0.746 0.602
Br 0.534 0.254 0.398
Br 0.570 0.141 0.828
Br 0.746 0.466 0.102
Br 0.822 0.872 0.468
Br 0.859 0.430 0.672
Br 0.872 0.822 0.968

Properties
Fermi-level density of states ... 10.62 states/eV/f.u.
ΔE_f (raw) ... -0.56 eV/atom



Entry 16:
Computed, not measured: crystalline KPm2CuBr8 at its relaxed geometry at the PBE level of DFT.

abc: 7.707 8.277 8.702
angles: 80.37 87.43 66.05
Sites, in units of the cell vectors:
K 0.000 0.000 0.000
Pm 0.037 0.472 0.258
Pm 0.963 0.528 0.742
Cu 0.000 0.000 0.500
Br 0.162 0.778 0.697
Br 0.223 0.282 0.998
Br 0.227 0.279 0.555
Br 0.278 0.644 0.222
Br 0.722 0.356 0.778
Br 0.773 0.721 0.445
Br 0.777 0.718 0.002
Br 0.838 0.222 0.303

Properties
Fermi-level density of states ... 0.00 states/eV/f.u.
ΔE_f (raw) ... -1.55 eV/atom



Entry 17:
Computed, not measured: crystalline KPmCuBr6 at its relaxed geometry at the PBE level of DFT.

abc: 6.974 6.975 7.450
angles: 93.58 93.69 113.28
Sites, in units of the cell vectors:
K 0.000 0.000 0.000
Pm 0.335 0.664 0.500
Cu 0.688 0.310 0.501
Br 0.012 0.339 0.676
Br 0.019 0.609 0.229
Br 0.392 0.981 0.771
Br 0.423 0.344 0.285
Br 0.655 0.576 0.715
Br 0.660 0.987 0.324

Properties
Fermi-level density of states ... 0.16 states/eV/f.u.
ΔE_f (raw) ... -1.29 eV/atom



Entry 18:
Computed, not measured: crystalline K2PmCuBr6 at its relaxed geometry at the PBE level of DFT.

abc: 8.004 8.759 12.683
angles: 90.00 128.52 90.00
Sites, in units of the cell vectors:
K 0.225 0.090 0.247
K 0.225 0.410 0.747
K 0.775 0.590 0.253
K 0.775 0.910 0.753
Pm 0.000 0.000 0.500
Pm 0.000 0.500 0.000
Cu 0.500 0.000 0.000
Cu 0.500 0.500 0.500
Br 0.117 0.216 0.950
Br 0.117 0.284 0.450
Br 0.247 0.666 0.947
Br 0.247 0.834 0.447
Br 0.387 0.033 0.783
Br 0.387 0.467 0.283
Br 0.613 0.533 0.717
Br 0.613 0.967 0.217
Br 0.753 0.166 0.553
Br 0.753 0.334 0.053
Br 0.883 0.716 0.550
Br 0.883 0.784 0.050

Properties
Fermi-level density of states ... 0.00 states/eV/f.u.
ΔE_f (raw) ... -1.48 eV/atom



Entry 19:
Computed, not measured: crystalline KCuPtBr6 at its relaxed geometry at the PBE level of DFT.

abc: 6.605 6.982 7.287
angles: 88.47 84.36 63.26
Sites, in units of the cell vectors:
K 0.000 0.000 0.000
Cu 0.375 0.231 0.513
Pt 0.673 0.627 0.501
Br 0.376 0.920 0.328
Br 0.396 0.596 0.746
Br 0.625 0.345 0.324
Br 0.674 0.927 0.687
Br 0.973 0.612 0.255
Br 0.998 0.349 0.670

Properties
Fermi-level density of states ... 0.03 states/eV/f.u.
ΔE_f (raw) ... -0.57 eV/atom



Entry 20:
Computed, not measured: crystalline K2CuPtBr6 at its relaxed geometry at the PBE level of DFT.

abc: 13.310 13.310 13.310
angles: 32.00 32.00 32.00
Sites, in units of the cell vectors:
K 0.116 0.116 0.116
K 0.302 0.302 0.302
K 0.698 0.698 0.698
K 0.884 0.884 0.884
Cu 0.416 0.416 0.416
Cu 0.584 0.584 0.584
Pt 0.000 0.000 0.000
Pt 0.500 0.500 0.500
Br 0.133 0.623 0.623
Br 0.208 0.208 0.707
Br 0.208 0.707 0.208
Br 0.293 0.792 0.792
Br 0.377 0.377 0.867
Br 0.377 0.867 0.377
Br 0.623 0.133 0.623
Br 0.623 0.623 0.133
Br 0.707 0.208 0.208
Br 0.792 0.293 0.792
Br 0.792 0.792 0.293
Br 0.867 0.377 0.377

Properties
Fermi-level density of states ... 3.75 states/eV/f.u.
ΔE_f (raw) ... -0.81 eV/atom